# ScW

A relaxed structure of ScW (GGA-PBE, Alexandria via LeMat-Bulk).

Values from the calculation:
Calculated volume in Å³/f.u.: 40.8
Total magnetic moment in μB per formula unit: 0.00

a = 10.0972 Å, b = 10.0972 Å, c = 2.7733 Å
α = 90.00°, β = 90.00°, γ = 120.00°
Space group P6_3/m (No. 176)
Asymmetric unit:
Sc  0.0687  0.3140  0.2500
W  0.1521  0.6170  0.2500

***

# Sc2W3

A relaxed structure of Sc2W3 (GGA-PBE, Alexandria via LeMat-Bulk).

Values from the calculation:
Calculated volume in Å³/f.u.: 97.5
Total magnetic moment in μB per formula unit: 0.00

a = 9.8273 Å, b = 14.3204 Å, c = 5.5445 Å
α = 90.00°, β = 90.00°, γ = 90.00°
Space group Fdd2 (No. 43)
Asymmetric unit:
Sc  0.0652  0.3036  0.0000
W  0.0000  0.0000  0.3107
W  0.0699  0.3871  0.4864

***

# Sc4W3

A relaxed structure of Sc4W3 (GGA-PBE, Alexandria via LeMat-Bulk).

Values from the calculation:
Calculated volume in Å³/f.u.: 142.6
Total magnetic moment in μB per formula unit: 0.00

a = 3.2456 Å, b = 3.2456 Å, c = 27.0686 Å
α = 90.00°, β = 90.00°, γ = 90.00°
Space group I4/mmm (No. 139)
Asymmetric unit:
Sc  0.0000  0.0000  0.0624
Sc  0.0000  0.0000  0.3415
W  0.0000  0.0000  0.2241
W  0.0000  0.0000  0.5000

***

# Sc5W

A relaxed structure of Sc5W (GGA-PBE, Alexandria via LeMat-Bulk).

Values from the calculation:
Calculated volume in Å³/f.u.: 132.0
Total magnetic moment in μB per formula unit: 0.00

a = 5.0223 Å, b = 3.1279 Å, c = 16.8030 Å
α = 90.00°, β = 90.00°, γ = 90.00°
Space group Amm2 (No. 38)
Asymmetric unit:
Sc  0.0000  0.0000  0.0000
Sc  0.0000  0.0000  0.3071
Sc  0.5000  0.0000  0.2091
Sc  0.5000  0.0000  0.5542
Sc  0.5000  0.0000  0.8831
W  0.0000  0.0000  0.6532

***

no.,excess energy over the best structure of this formula in the dataset (meV per atom)
1,586
2,0
3,0
4,0